Record 1
YAsPO2 | Alexandria via LeMat-Bulk | GGA-PBE | optimized geometry; spin magnetization = 0.00 μB per cell; space-group type = P4/mmm (123); E_tot = -5.87 eV per atom; relative energy among the computed polymorphs = 0.481 eV per atom; ΔE_f (raw) = -57 kJ/mol of atoms
1.0
-1.171 1.329 3.747
2.333 -2.934 1.769
4.692 3.802 0.118
P O Y As
1 2 1 1
Direct
0.000 0.000 0.500
0.000 0.500 0.000
0.500 0.000 0.000
0.000 0.000 0.000
0.500 0.500 0.500

***

Record 2
La8Pm3Er | Alexandria via LeMat-Bulk | GGA-PBE | optimized geometry; spin magnetization = 0.00 μB per cell; calculated formation energy = 47.8 kJ per mole of atoms; space-group type = I-42m (121); E_tot = -4.36 eV per atom
1.0
8.598 -0.318 -0.506
-3.695 7.770 0.506
-3.695 -2.907 7.223
Pm La Er
3 8 1
Direct
0.500 0.750 0.250
0.500 0.250 0.750
0.000 0.500 0.500
0.000 0.627 0.872
0.498 0.748 0.748
0.000 0.252 0.750
0.000 0.750 0.252
0.756 0.128 0.128
0.244 0.373 0.373
0.502 0.250 0.250
0.000 0.872 0.627
0.000 0.000 0.000

***

Record 3
TbWC | Alexandria via LeMat-Bulk | GGA-PBE | optimized geometry; spin magnetization = 0.00 μB per cell; calculated formation energy = 6.4 kJ per mole of atoms; space-group type = P6_3mc (186); E_tot = -8.87 eV per atom; relative energy among the computed polymorphs = 0.000 eV per atom
1.0
3.225 0.000 0.000
-1.613 2.793 0.000
0.000 0.000 10.858
Tb C W
2 2 2
Direct
0.333 0.667 0.261
0.667 0.333 0.761
0.333 0.667 0.612
0.667 0.333 0.112
0.000 0.000 0.517
0.000 0.000 0.017

***

Record 4
VPd3 | Alexandria via LeMat-Bulk | GGA-PBE | optimized geometry; spin magnetization = 0.73 μB per cell; calculated formation energy = -23.4 kJ per mole of atoms; space-group type = I4/mmm (139); E_tot = -6.42 eV per atom
1.0
4.783 0.000 0.000
1.640 4.493 0.000
-3.211 -2.247 2.742
Pd V
3 1
Direct
0.500 0.500 0.000
0.750 0.250 0.500
0.250 0.750 0.500
0.000 0.000 0.000

***

Record 5
Nd3Dy6Y2 | Alexandria via LeMat-Bulk | GGA-PBE | optimized geometry; spin magnetization = 0.00 μB per cell; calculated formation energy = 26.6 kJ per mole of atoms; space-group type = I4/mmm (139); E_tot = -4.71 eV per atom; relative energy among the computed polymorphs = 0.117 eV per atom
1.0
4.766 0.000 0.000
0.000 4.766 0.000
-2.383 -2.383 16.751
Dy Nd Y
6 3 2
Direct
0.694 0.694 0.388
0.306 0.306 0.612
0.121 0.621 0.242
0.379 0.879 0.758
0.879 0.379 0.758
0.621 0.121 0.242
0.203 0.203 0.406
0.000 0.000 0.000
0.797 0.797 0.594
0.454 0.454 0.907
0.546 0.546 0.093

***

Record 6
Ti2V2Zn | Alexandria via LeMat-Bulk | GGA-PBE | optimized geometry; spin magnetization = 0.00 μB per cell; calculated formation energy = 8.5 kJ per mole of atoms; space-group type = P4/mbm (127); E_tot = -6.97 eV per atom; relative energy among the computed polymorphs = 0.000 eV per atom
1.0
6.664 0.000 0.000
0.000 6.664 0.000
0.000 0.000 3.491
Zn V Ti
2 4 4
Direct
0.000 0.000 0.000
0.500 0.500 0.000
0.627 0.127 0.000
0.127 0.373 0.000
0.373 0.873 0.000
0.873 0.627 0.000
0.330 0.170 0.500
0.830 0.330 0.500
0.670 0.830 0.500
0.170 0.670 0.500

***

Record 7
Tl3As5Se12 | Alexandria via LeMat-Bulk | GGA-PBE | optimized geometry; spin magnetization = 0.00 μB per cell; space-group type = Ia-3d (230); E_tot = -3.62 eV per atom; ΔE_f (raw) = -1 kJ/mol of atoms
1.0
-6.765 -11.215 5.935
11.742 3.131 7.688
-8.800 11.371 -0.156
Se As Tl
48 20 12
Direct
0.592 0.887 0.408
0.408 0.387 0.592
0.887 0.295 0.480
0.295 0.408 0.816
0.387 0.408 0.092
0.613 0.020 0.205
0.408 0.113 0.592
0.205 0.520 0.613
0.184 0.092 0.705
0.408 0.020 0.316
0.205 0.684 0.092
0.592 0.613 0.408
0.316 0.795 0.408
0.795 0.316 0.908
0.705 0.113 0.020
0.980 0.387 0.295
0.908 0.816 0.795
0.316 0.520 0.408
0.295 0.887 0.980
0.520 0.316 0.908
0.887 0.592 0.908
0.480 0.795 0.887
0.092 0.908 0.387
0.113 0.705 0.520
0.816 0.908 0.020
0.705 0.592 0.184
0.684 0.205 0.592
0.684 0.480 0.592
0.184 0.092 0.980
0.092 0.184 0.480
0.908 0.092 0.887
0.613 0.592 0.908
0.387 0.980 0.795
0.592 0.705 0.684
0.408 0.295 0.316
0.480 0.684 0.092
0.520 0.205 0.113
0.020 0.408 0.816
0.092 0.908 0.113
0.908 0.816 0.520
0.795 0.480 0.387
0.020 0.613 0.705
0.816 0.908 0.295
0.592 0.980 0.684
0.908 0.092 0.613
0.092 0.184 0.205
0.980 0.592 0.184
0.113 0.408 0.092
0.875 0.250 0.625
0.500 0.000 0.500
0.375 0.250 0.125
0.125 0.375 0.250
0.000 0.000 0.500
0.375 0.125 0.750
0.000 0.500 0.500
0.500 0.500 0.000
0.500 0.500 0.500
0.750 0.125 0.875
0.000 0.500 0.000
0.625 0.875 0.250
0.000 0.000 0.000
0.250 0.875 0.125
0.750 0.625 0.375
0.125 0.750 0.375
0.250 0.375 0.625
0.875 0.625 0.750
0.500 0.000 0.000
0.625 0.750 0.875
0.875 0.125 0.250
0.125 0.250 0.875
0.875 0.750 0.125
0.375 0.625 0.250
0.625 0.375 0.750
0.375 0.750 0.625
0.750 0.375 0.125
0.750 0.875 0.625
0.125 0.875 0.750
0.625 0.250 0.375
0.250 0.625 0.875
0.250 0.125 0.375

***

Record 8
V2TcSe | Alexandria via LeMat-Bulk | GGA-PBE | optimized geometry; spin magnetization = 1.80 μB per cell; space-group type = P4/mmm (123); E_tot = -8.15 eV per atom; ΔE_f (raw) = -12 kJ/mol of atoms
1.0
-3.054 -0.367 0.489
0.611 -1.940 2.358
0.052 4.642 3.805
V Tc Se
2 1 1
Direct
0.000 0.000 0.743
0.000 0.000 0.257
0.500 0.500 0.500
0.500 0.500 0.000

***

Record 9
CrRe2Te | Alexandria via LeMat-Bulk | GGA-PBE | optimized geometry; spin magnetization = 0.44 μB per cell; space-group type = R-3m (166); E_tot = -8.75 eV per atom; ΔE_f (raw) = 64 kJ/mol of atoms
1.0
8.740 0.013 0.008
8.236 2.924 0.008
8.236 1.425 2.554
Re Te Cr
2 1 1
Direct
0.508 0.508 0.508
0.992 0.992 0.992
0.750 0.750 0.750
0.250 0.250 0.250

***

Record 10
OsBr6Cl | Alexandria via LeMat-Bulk | GGA-PBE | optimized geometry; spin magnetization = 6.04 μB per cell; space-group type = P-1 (2); E_tot = -2.94 eV per atom; ΔE_f (raw) = -5 kJ/mol of atoms
1.0
-2.957 4.484 5.628
-0.216 -3.289 7.056
11.209 4.027 0.572
Br Os Cl
12 2 2
Direct
0.501 0.122 0.208
0.160 0.210 0.972
0.244 0.584 0.442
0.584 0.244 0.942
0.416 0.756 0.058
0.790 0.839 0.528
0.756 0.416 0.558
0.125 0.498 0.707
0.499 0.878 0.792
0.875 0.502 0.293
0.840 0.790 0.028
0.210 0.161 0.472
0.000 0.500 0.500
0.500 0.000 0.000
0.696 0.304 0.250
0.304 0.696 0.750

***

Record 11
Pm2ErThSb5 | Alexandria via LeMat-Bulk | GGA-PBE | optimized geometry; spin magnetization = 0.00 μB per cell; space-group type = P4/mmm (123); E_tot = -4.94 eV per atom; ΔE_f (raw) = -26 kJ/mol of atoms
1.0
-0.308 -4.948 -1.638
3.725 -1.357 3.399
-8.278 -2.198 8.195
Er Sb Pm Th
1 5 2 1
Direct
0.000 0.000 0.500
0.000 0.000 0.250
0.500 0.000 0.500
0.500 0.500 0.000
0.000 0.500 0.500
0.000 0.000 0.750
0.500 0.500 0.285
0.500 0.500 0.715
0.000 0.000 0.000

***

Record 12
TaTiRe | Alexandria via LeMat-Bulk | GGA-PBE | optimized geometry; spin magnetization = 0.00 μB per cell; calculated formation energy = -29.4 kJ per mole of atoms; space-group type = I4mm (107); E_tot = -11.04 eV per atom; relative energy among the computed polymorphs = 0.000 eV per atom
1.0
0.087 -0.471 -3.143
-0.656 -3.079 0.443
-4.459 2.746 1.073
Ti Re Ta
1 1 1
Direct
0.009 0.009 0.017
0.667 0.667 0.334
0.325 0.325 0.649

***

Record 13
PmMgNiPt | Alexandria via LeMat-Bulk | GGA-PBE | optimized geometry; spin magnetization = 0.00 μB per cell; calculated formation energy = -55.0 kJ per mole of atoms; space-group type = F-43m (216); E_tot = -5.11 eV per atom
1.0
4.768 0.000 0.000
2.384 4.129 0.000
2.384 1.376 3.893
Mg Pt Ni Pm
1 1 1 1
Direct
0.000 0.000 0.000
0.750 0.750 0.750
0.250 0.250 0.250
0.500 0.500 0.500

***

Record 14
RbIn4Ge2 | Alexandria via LeMat-Bulk | GGA-PBE | optimized geometry; spin magnetization = 0.00 μB per cell; calculated formation energy = -1.3 kJ per mole of atoms; space-group type = Cmmm (65); E_tot = -3.04 eV per atom
1.0
4.837 0.000 0.000
0.000 5.276 0.000
0.000 -2.638 7.805
In Ge Rb
4 2 1
Direct
0.000 0.690 0.379
0.500 0.178 0.356
0.500 0.822 0.644
0.000 0.310 0.621
0.500 0.415 0.829
0.500 0.585 0.171
0.000 0.000 0.000

***

Record 15
Rb2LiUSe4 | Alexandria via LeMat-Bulk | GGA-PBE | optimized geometry; spin magnetization = 1.00 μB per cell; space-group type = P2/m (10); E_tot = -4.82 eV per atom; ΔE_f (raw) = -114 kJ/mol of atoms
1.0
-4.013 1.514 0.231
-1.705 -5.429 5.955
1.555 3.169 6.252
Se Li Rb U
4 1 2 1
Direct
0.000 0.312 0.251
0.000 0.688 0.749
0.500 0.689 0.279
0.500 0.311 0.721
0.500 0.500 0.000
0.500 0.000 0.500
0.000 0.000 0.000
0.000 0.500 0.500

***

Record 16
Li3Np3PN8 | Alexandria via LeMat-Bulk | GGA-PBE | optimized geometry; spin magnetization = 2.99 μB per cell; space-group type = R-3m (166); E_tot = -8.29 eV per atom; ΔE_f (raw) = -50 kJ/mol of atoms
1.0
-1.185 -0.159 6.547
-0.759 -5.513 -3.654
5.644 2.525 1.082
N Li Np P
8 3 3 1
Direct
0.227 0.967 0.694
0.773 0.033 0.306
0.741 0.481 0.722
0.773 0.546 0.306
0.260 0.033 0.306
0.740 0.967 0.694
0.227 0.454 0.694
0.259 0.519 0.278
0.000 0.500 0.000
0.500 0.500 0.000
0.000 0.000 0.000
0.000 0.500 0.500
0.500 0.000 0.500
0.500 0.500 0.500
0.000 0.000 0.500

***

Record 17
NbVFePd2 | Alexandria via LeMat-Bulk | GGA-PBE | optimized geometry; spin magnetization = 0.00 μB per cell; calculated formation energy = 87.6 kJ per mole of atoms; space-group type = P4/mmm (123); E_tot = -6.70 eV per atom
1.0
-3.310 2.875 -1.444
-0.061 -1.857 -3.558
-3.217 -2.912 1.575
Fe Pd V Nb
1 2 1 1
Direct
0.000 0.500 0.000
0.000 0.000 0.500
0.500 0.000 0.000
0.000 0.000 0.000
0.500 0.500 0.500

***

Record 18
Rb2Pm2GeO6 | Alexandria via LeMat-Bulk | GGA-PBE | optimized geometry; spin magnetization = 0.00 μB per cell; space-group type = C2/m (12); E_tot = -6.44 eV per atom; ΔE_f (raw) = -219 kJ/mol of atoms
1.0
5.883 0.012 0.112
-2.897 5.120 0.112
-1.001 -1.720 6.624
O Rb Pm Ge
6 2 2 1
Direct
0.337 0.044 0.660
0.771 0.771 0.661
0.956 0.663 0.340
0.229 0.229 0.339
0.663 0.956 0.340
0.044 0.337 0.660
0.838 0.162 0.000
0.162 0.838 0.000
0.665 0.335 0.500
0.335 0.665 0.500
0.000 0.000 0.500

***

Record 19
HoGeH | Alexandria via LeMat-Bulk | GGA-PBE | optimized geometry; spin magnetization = 0.00 μB per cell; space-group type = Cmce (64); E_tot = -4.70 eV per atom; relative energy among the computed polymorphs = 0.204 eV per atom
1.0
-0.805 -3.588 3.802
5.089 0.135 1.435
-1.486 5.378 4.760
Ho H Ge
4 4 4
Direct
0.164 0.164 0.169
0.664 0.664 0.331
0.836 0.836 0.831
0.336 0.336 0.669
0.120 0.120 0.880
0.380 0.380 0.380
0.880 0.880 0.120
0.620 0.620 0.620
0.667 0.333 0.000
0.333 0.667 0.000
0.167 0.833 0.500
0.833 0.167 0.500

***

Record 20
TbH5 | Alexandria via LeMat-Bulk | GGA-PBE | optimized geometry; spin magnetization = 0.00 μB per cell; space-group type = Cmmm (65); E_tot = -3.37 eV per atom
1.0
-0.417 -1.123 3.131
-0.385 -3.100 -1.163
3.823 0.992 0.866
H Tb
5 1
Direct
0.000 0.700 0.400
0.500 0.767 0.535
0.500 0.500 0.000
0.500 0.233 0.465
0.000 0.300 0.600
0.000 0.000 0.000

***

Record 21
Ti8AsN2 | Alexandria via LeMat-Bulk | GGA-PBE | optimized geometry; spin magnetization = 0.00 μB per cell; space-group type = C2/m (12); E_tot = -8.15 eV per atom; ΔE_f (raw) = -46 kJ/mol of atoms
1.0
-3.967 2.165 -2.976
0.420 -4.013 -4.964
-3.448 -5.333 -0.768
As Ti N
1 8 2
Direct
0.000 0.000 0.000
0.706 0.649 0.173
0.294 0.811 0.811
0.294 0.351 0.827
0.294 0.827 0.351
0.790 0.643 0.643
0.706 0.173 0.649
0.706 0.189 0.189
0.210 0.357 0.357
0.349 0.192 0.192
0.651 0.808 0.808